{
  "formula": "CrCdSb2",
  "functional": "SCAN",
  "state": "PBEsol geometry",
  "lattice": [[-1.550, 2.153, 6.692], [1.550, -2.153, 6.692], [1.550, 2.153, -6.692]],
  "species": ["Cr", "Cd", "Sb", "Sb"],
  "frac_coords": [[0.000, 0.000, 0.000], [0.795, 0.295, 0.500], [0.170, 0.670, 0.500], [0.459, 0.459, 0.000]],
  "e_form_raw_mev_per_atom": 131,
  "final_energy_ev_per_cell": -122.8
}